Here is a relaxed Li2RePb crystal from Alexandria via LeMat-Bulk. Energies are from GGA-PBE.

Formation enthalpy at 0 K (eV per atom): 0.496
Crystal system: tetragonal
Total DFT energy (no corrections) (eV/atom): -4.500

a = 4.021 Å, b = 4.021 Å, c = 4.074 Å
α = 90.00°, β = 90.00°, γ = 90.00°
Sites, in units of the cell vectors:
Li (0.000, 0.500, 0.000)
Li (0.500, 0.000, 0.000)
Re (0.000, 0.000, 0.500)
Pb (0.500, 0.500, 0.500)

Here is a relaxed Ta3MnN4 crystal from Alexandria via LeMat-Bulk. Energies are from GGA-PBE.

Formation energy from raw total energies (eV/atom): -0.776
Crystal system: trigonal
Total DFT energy (no corrections) (eV/atom): -10.530

a = 3.018 Å, b = 3.018 Å, c = 10.803 Å
α = 90.00°, β = 90.00°, γ = 120.00°
Sites, in units of the cell vectors:
Ta (0.000, 0.000, 0.000)
Ta (0.333, 0.667, 0.255)
Ta (0.667, 0.333, 0.745)
Mn (0.000, 0.000, 0.500)
N (0.333, 0.667, 0.625)
N (0.333, 0.667, 0.871)
N (0.667, 0.333, 0.129)
N (0.667, 0.333, 0.375)

Here is a relaxed PrLu2Cr crystal from Alexandria via LeMat-Bulk. Energies are from GGA-PBE.

Formation enthalpy at 0 K (eV per atom): 0.184
Crystal system: tetragonal
Total DFT energy (no corrections) (eV/atom): -5.677

a = 3.444 Å, b = 3.444 Å, c = 8.955 Å
α = 90.00°, β = 90.00°, γ = 90.00°
Sites, in units of the cell vectors:
Pr (0.000, 0.000, 0.000)
Lu (0.500, 0.500, 0.310)
Lu (0.500, 0.500, 0.690)
Cr (0.000, 0.000, 0.500)

Here is a relaxed ZnReOs2 crystal from Alexandria via LeMat-Bulk. Energies are from GGA-PBE.

Formation enthalpy at 0 K (eV per atom): 0.394
Crystal system: orthorhombic
Total DFT energy (no corrections) (eV/atom): -8.652

a = 2.714 Å, b = 2.714 Å, c = 8.995 Å
α = 90.00°, β = 90.00°, γ = 116.93°
Sites, in units of the cell vectors:
Zn (0.000, 0.000, 0.000)
Re (0.000, 0.000, 0.500)
Os (0.500, 0.500, 0.250)
Os (0.500, 0.500, 0.750)

Here is a relaxed PmGaSb2 crystal from Alexandria via LeMat-Bulk. Energies are from GGA-PBE.

Formation energy from raw total energies (eV/atom): -0.324
Crystal system: cubic
Offset from the most stable computed form (meV/atom): 218
Total DFT energy (no corrections) (eV/atom): -4.330

a = 5.370 Å, b = 5.370 Å, c = 5.370 Å
α = 60.00°, β = 60.00°, γ = 60.00°
Sites, in units of the cell vectors:
Pm (0.000, 0.000, 0.000)
Ga (0.500, 0.500, 0.500)
Sb (0.250, 0.250, 0.250)
Sb (0.750, 0.750, 0.750)

Here is a relaxed CeHo2Be crystal from Alexandria via LeMat-Bulk. Energies are from GGA-PBE.

Formation enthalpy at 0 K (eV per atom): 0.691
Crystal system: trigonal
Offset from the most stable computed form (meV/atom): 590
Total DFT energy (no corrections) (eV/atom): -4.013

a = 11.341 Å, b = 11.341 Å, c = 11.341 Å
α = 17.12°, β = 17.12°, γ = 17.12°
Sites, in units of the cell vectors:
Ce (0.000, 0.000, 0.000)
Ho (0.415, 0.415, 0.415)
Ho (0.585, 0.585, 0.585)
Be (0.500, 0.500, 0.500)

Here is a relaxed TmSF crystal from Alexandria via LeMat-Bulk. Energies are from GGA-PBE.

Formation energy from raw total energies (eV/atom): -2.913
Crystal system: monoclinic
Total DFT energy (no corrections) (eV/atom): -6.403

a = 5.205 Å, b = 5.205 Å, c = 6.884 Å
α = 117.20°, β = 117.20°, γ = 40.68°
Sites, in units of the cell vectors:
Tm (0.179, 0.179, 0.224)
Tm (0.821, 0.821, 0.776)
S (0.423, 0.423, 0.141)
S (0.577, 0.577, 0.859)
F (0.199, 0.199, 0.577)
F (0.801, 0.801, 0.423)

Here is a relaxed SmNb2Ge2 crystal from Alexandria via LeMat-Bulk. Energies are from GGA-PBE.

Formation enthalpy at 0 K (eV per atom): -0.615
Crystal system: tetragonal
Total DFT energy (no corrections) (eV/atom): -7.434

a = 6.722 Å, b = 6.722 Å, c = 6.722 Å
α = 144.69°, β = 144.69°, γ = 50.79°
Sites, in units of the cell vectors:
Sm (0.000, 0.000, 0.000)
Nb (0.250, 0.750, 0.500)
Nb (0.750, 0.250, 0.500)
Ge (0.396, 0.396, 0.000)
Ge (0.604, 0.604, 0.000)